Entry 1:
Computed, not measured: CrHg2 at its PBEsol-relaxed geometry at the SCAN level of DFT.

Cell: 3.0166 5.4673 7.4305 Å, 102.01 90.00 106.01°
Closest atoms and distances in Å follow each position.
Element x y z (fractional)
Hg 0.3866 0.7731 0.7232  2 Cr 2.93, 8 Hg 3.02-3.15
Cr 0.6242 0.2483 0.2639  2 Cr 2.33
Cr 0.0006 0.0012 0.0577  2 Cr 2.33
Hg 0.7029 0.4059 0.9313  4 Cr 2.77-3.07, 4 Hg 3.02-3.10
Hg 0.0957 0.1914 0.5651  2 Cr 2.77, 5 Hg 3.02-3.10
Hg 0.3567 0.7135 0.2922  5 Cr 2.84-2.96, 3 Hg 3.02-3.15

## Properties
The formation energy is 0.202 eV per atom. As for the space group: Cm (8). For the raw total energy, the calculation gives -308.2 eV for the cell shown. The volume comes out at 19.17 A^3/atom.

Entry 2:
Computed, not measured: LiAl2As2 at its PBEsol-relaxed geometry at the SCAN level of DFT.

Cell: 3.4080 7.1771 7.1771 Å, 90.00 90.00 90.00°
Closest atoms and distances in Å follow each position.
Element x y z (fractional)
Li 0.0000 0.5000 0.5000  4 Al 2.80
As 0.5000 0.3320 0.1680  6 Al 2.65-2.76
As 0.5000 0.6680 0.8320  6 Al 2.65-2.76
As 0.5000 0.1680 0.6680  6 Al 2.65-2.76
As 0.5000 0.8320 0.3320  6 Al 2.65-2.76
Al 0.0000 0.6324 0.1324  6 As 2.65-2.76, 1 Al 2.69, 2 Li 2.80
Li 0.0000 0.0000 0.0000  4 Al 2.80
Al 0.0000 0.1324 0.3676  6 As 2.65-2.76, 1 Al 2.69, 2 Li 2.80
Al 0.0000 0.8676 0.6324  6 As 2.65-2.76, 1 Al 2.69, 2 Li 2.80
Al 0.0000 0.3676 0.8676  6 As 2.65-2.76, 1 Al 2.69, 2 Li 2.80

## Properties
The formation energy is -0.132 eV per atom. As for the space group: P4/mbm (127). For the raw total energy, the calculation gives -117.9 eV for the cell shown. The volume comes out at 17.56 A^3/atom.

Entry 3:
Computed, not measured: GePRu3 at its PBEsol-relaxed geometry at the SCAN level of DFT.

Cell: 4.4376 4.4376 4.4376 Å, 90.00 90.00 90.00°
Closest atoms and distances in Å follow each position.
Element x y z (fractional)
Ru 0.0000 0.0000 0.5000  2 Ge 2.22
P 0.5000 0.5000 0.5000  12 Ru 3.14
Ru 0.5000 0.0000 0.0000  2 Ge 2.22
Ru 0.0000 0.5000 0.0000  2 Ge 2.22
Ge 0.0000 0.0000 0.0000  6 Ru 2.22

## Properties
The formation energy is 1.456 eV per atom. As for the space group: Pm-3m (221). For the raw total energy, the calculation gives -126.7 eV for the cell shown. The volume comes out at 17.48 A^3/atom.

Entry 4:
Computed, not measured: BeCr2Te at its PBEsol-relaxed geometry at the SCAN level of DFT.

Cell: 3.8752 3.8752 4.4989 Å, 115.51 115.51 90.00°
Closest atoms and distances in Å follow each position.
Element x y z (fractional)
Cr 0.2500 0.7500 0.5000  4 Te 2.63, 4 Be 2.63, 4 Cr 2.74
Cr 0.7500 0.2500 0.5000  4 Te 2.63, 4 Be 2.63, 4 Cr 2.74
Te 0.5000 0.5000 0.0000  8 Cr 2.63, 4 Be 2.74
Be 0.0000 0.0000 0.0000  8 Cr 2.63, 4 Te 2.74

## Properties
The calculation puts the relative energy among the computed polymorphs at 0.0 meV per atom. As for the space group: I4/mmm (139). For the raw total energy, the calculation gives -77.0 eV for the cell shown. The volume comes out at 13.40 A^3/atom. The formation energy from raw total energies comes out at 34 kJ per mole of atoms.

Entry 5:
Computed, not measured: Mn2Tc at its PBEsol-relaxed geometry at the SCAN level of DFT.

Cell: 2.5650 2.5650 6.1779 Å, 90.00 90.00 120.00°
Closest atoms and distances in Å follow each position.
Element x y z (fractional)
Mn 0.6667 0.3333 0.3487  9 Mn 2.38-2.57, 3 Tc 2.61
Mn 0.3333 0.6667 0.6513  9 Mn 2.38-2.57, 3 Tc 2.61
Tc 0.0000 0.0000 0.0000  6 Tc 2.57, 6 Mn 2.61

## Properties
The calculation puts the relative energy among the computed polymorphs at 289.9 meV per atom. The formation energy is 0.276 eV per atom. As for the space group: P-3m1 (164). For the raw total energy, the calculation gives -70.7 eV for the cell shown. The volume comes out at 11.73 A^3/atom.

Entry 6:
Computed, not measured: Mn3O5F at its PBEsol-relaxed geometry at the SCAN level of DFT.

Cell: 5.3083 5.3432 6.8543 Å, 73.11 72.65 73.99°
Closest atoms and distances in Å follow each position.
Element x y z (fractional)
F 0.9664 0.3888 0.3220  3 Mn 2.00-2.07
Mn 0.3573 0.3065 0.6676  5 O 1.84-1.91, 1 F 2.01
O 0.5691 0.5598 0.6292  3 Mn 1.90-1.91
O 0.4309 0.4402 0.3708  3 Mn 1.90-1.91
O 0.8932 0.9040 0.2965  3 Mn 1.89
Mn 0.6498 0.6668 0.8412  5 O 1.83-1.90, 1 F 2.00
O 0.1068 0.0960 0.7035  3 Mn 1.89
O 0.6419 0.0166 0.6695  3 Mn 1.84-1.90
Mn 0.0000 0.0000 0.0000  6 O 1.89-1.96
O 0.6958 0.3077 0.9993  3 Mn 1.83-1.96
O 0.3042 0.6923 0.0007  3 Mn 1.83-1.96
O 0.2362 0.2297 0.9627  3 Mn 1.89-1.90
F 0.0336 0.6112 0.6780  3 Mn 2.00-2.07
O 0.3581 0.9834 0.3305  3 Mn 1.84-1.90
Mn 0.0000 0.0000 0.5000  4 O 1.89-1.90, 2 F 2.07
Mn 0.3502 0.3332 0.1588  5 O 1.83-1.90, 1 F 2.00
O 0.7638 0.7703 0.0373  3 Mn 1.89-1.90
Mn 0.6427 0.6935 0.3324  5 O 1.84-1.91, 1 F 2.01

## Properties
The calculation puts the relative energy among the computed polymorphs at 0.0 meV per atom. As for the space group: P-1 (2). For the raw total energy, the calculation gives -218.8 eV for the cell shown. The volume comes out at 9.65 A^3/atom. The formation energy from raw total energies comes out at -214 kJ per mole of atoms.